# 1
ZrFeTe: relaxed, PBE-GGA.

abc: 4.244 4.244 3.581
angles: 90.00 90.00 120.00
Fractional coordinates of all 3 atoms:
Fe: 0.000 0.000 0.107
Te: 0.333 0.667 0.194
Zr: 0.667 0.333 0.699

# 2
SrTm2O: relaxed, PBE-GGA.

abc: 3.520 3.520 9.678
angles: 79.52 79.52 60.00
Fractional coordinates of all 4 atoms:
Sr: 0.000 0.000 0.000
Tm: 0.122 0.122 0.634
Tm: 0.878 0.878 0.366
O: 0.500 0.500 0.500

Number 1: formation energy (no corrections) -249 meV/atom, raw total energy -20.9 eV per formula unit. Number 2: formation energy (no corrections) -1117 meV/atom, raw total energy -20.1 eV per formula unit.